No. 1
This record from the Alexandria database describes a relaxed structure of LaCe2SmAs4. The functional is PBE.

abc: 4.2555 7.3727 7.3731
angles: 70.56 90.00 90.00
Last column: magnetic moment on the atom in μB.
Fractional coordinates of all 8 atoms:
1 La 0.5000 0.5000 0.0000  0.01
2 Ce 0.0000 0.0000 0.0000  0.63
3 Ce 0.5000 0.0000 0.5000  0.56
4 Sm 0.0000 0.5000 0.5000  0.01
5 As 0.0000 0.7580 0.7434  -0.02
6 As 0.0000 0.2420 0.2566  -0.02
7 As 0.5000 0.7549 0.2522  -0.02
8 As 0.5000 0.2451 0.7478  -0.02

Output
* formation energy from the elements: -143.5 kJ/mol of atoms
* size of the total moment: 1.28 μB/cell
* E_tot: -6.501 eV per atom

---

No. 2
This record from the Alexandria database describes a relaxed structure of PmThSb2Rh5. The functional is PBE.

abc: 4.5027 4.5027 8.8958
angles: 90.00 90.00 90.00
Fractional coordinates of all 9 atoms:
1 Pm 0.0000 0.0000 0.5000
2 Th 0.0000 0.0000 0.0000
3 Sb 0.5000 0.5000 0.1583
4 Sb 0.5000 0.5000 0.8417
5 Rh 0.0000 0.5000 0.2842
6 Rh 0.5000 0.0000 0.2842
7 Rh 0.0000 0.5000 0.7158
8 Rh 0.5000 0.0000 0.7158
9 Rh 0.5000 0.5000 0.5000

Output
* size of the total moment: 0.00 μB/cell
* E_tot: -6.911 eV per atom

---

No. 3
This record from the Alexandria database describes a relaxed structure of Tb2GdHg. The functional is PBE.

abc: 3.6170 3.6170 10.8435
angles: 80.40 80.40 60.00
Last column: magnetic moment on the atom in μB.
Fractional coordinates of all 4 atoms:
1 Gd 0.5000 0.5000 0.5000  7.14
2 Tb 0.2575 0.2575 0.2274  -0.04
3 Tb 0.7425 0.7425 0.7726  -0.04
4 Hg 0.0000 0.0000 0.0000  -0.01

Output
* polymorph energy (0 for the lowest one): 0.27 eV/f.u.
* formation energy from the elements: -14.8 kJ/mol of atoms
* size of the total moment: 7.23 μB/cell
* E_tot: -6.064 eV per atom

---

No. 4
This record from the Alexandria database describes a relaxed structure of CsKTeI. The functional is PBE.

abc: 6.3646 6.3646 6.3646
angles: 60.00 60.00 60.00
Last column: magnetic moment on the atom in μB.
Fractional coordinates of all 4 atoms:
1 Cs 0.0000 0.0000 0.0000  0.01
2 I 0.7500 0.7500 0.7500  0.11
3 K 0.5000 0.5000 0.5000  0.00
4 Te 0.2500 0.2500 0.2500  0.41

Output
* size of the total moment: 1.04 μB/cell
* E_tot: -2.570 eV per atom